# 1
A plane-wave DFT calculation with GGA-PBE was carried out for AcSmTh2Bi4 after structural relaxation.

```
16
Lattice="6.588 0.000 0.000 0.000 6.588 0.000 0.000 0.000 13.157" Properties=species:S:1:pos:R:3 pbc="T T T"
Ac 0.000 0.000 0.000
Ac 3.294 3.294 6.578
Sm 0.000 3.294 9.868
Sm 3.294 0.000 3.289
Th 0.000 0.000 6.578
Th 0.000 3.294 3.289
Th 3.294 0.000 9.868
Th 3.294 3.294 0.000
Bi 0.000 0.000 3.360
Bi 0.000 0.000 9.797
Bi 0.000 3.294 0.000
Bi 0.000 3.294 6.578
Bi 3.294 0.000 13.157
Bi 3.294 0.000 6.579
Bi 3.294 3.294 3.219
Bi 3.294 3.294 9.938
```

Computed properties:
Crystal system   tetragonal
Formation energy from the elements   -746 meV per atom

---

# 2
A plane-wave DFT calculation with GGA-PBE was carried out for Ac2SmThBi4 after structural relaxation.

```
8
Lattice="8.153 0.000 0.000 0.000 4.719 0.000 -2.721 0.000 7.748" Properties=species:S:1:pos:R:3 pbc="T T T"
Ac 0.000 0.000 0.000
Ac 4.076 2.359 0.000
Sm -1.360 2.359 3.874
Th 2.716 0.000 3.874
Bi -0.003 0.000 5.674
Bi 1.353 2.359 2.070
Bi 4.079 2.359 5.678
Bi 5.435 0.000 2.074
```

Computed properties:
Crystal system   monoclinic
Formation energy from the elements   -882 meV per atom

---

# 3
A plane-wave DFT calculation with GGA-PBE was carried out for Ac2SmThBi5 after structural relaxation.

```
9
Lattice="5.777 0.000 0.000 0.000 5.777 0.000 0.000 0.000 12.172" Properties=species:S:1:pos:R:3 pbc="T T T"
Ac 0.000 0.000 2.635
Ac 0.000 0.000 9.537
Sm 2.889 2.889 6.086
Th 2.889 2.889 0.000
Bi 0.000 0.000 6.086
Bi 0.000 2.889 0.000
Bi 2.889 0.000 0.000
Bi 2.889 2.889 3.112
Bi 2.889 2.889 9.060
```

Computed properties:
Crystal system   tetragonal
Formation energy from the elements   -177 meV per atom

---

# 4
A plane-wave DFT calculation with GGA-PBE was carried out for Ac2SmTmBi4 after structural relaxation.

```
8
Lattice="8.115 0.000 0.000 0.000 4.696 0.000 -2.714 0.000 7.661" Properties=species:S:1:pos:R:3 pbc="T T T"
Ac 0.000 0.000 0.000
Ac -1.357 2.348 3.831
Sm 2.701 0.000 3.831
Tm 4.058 2.348 0.000
Bi 1.509 2.348 1.939
Bi 0.152 0.000 5.835
Bi 5.249 0.000 1.826
Bi 3.892 2.348 5.722
```

Computed properties:
Crystal system   monoclinic
Formation energy from the elements   -910 meV per atom

---

# 5
A plane-wave DFT calculation with GGA-PBE was carried out for AcSmTm2Bi4 after structural relaxation.

```
8
Lattice="7.919 0.000 0.000 0.000 4.589 0.000 -2.652 0.000 7.489" Properties=species:S:1:pos:R:3 pbc="T T T"
Ac 0.000 0.000 0.000
Sm -1.326 2.295 3.744
Tm 2.634 0.000 3.744
Tm 3.959 2.295 0.000
Bi 0.115 0.000 5.595
Bi 1.441 2.295 1.984
Bi 3.826 2.295 5.505
Bi 5.152 0.000 1.893
```

Computed properties:
Crystal system   monoclinic
Formation energy from the elements   -850 meV per atom

---

# 6
A plane-wave DFT calculation with GGA-PBE was carried out for Ac4SmY3Bi8 after structural relaxation.

```
16
Lattice="4.696 2.711 7.655 -4.696 2.711 7.655 0.000 -5.422 7.655" Properties=species:S:1:pos:R:3 pbc="T T T"
Ac 0.000 0.000 0.000
Ac -2.348 -1.356 7.655
Ac -2.348 1.356 15.309
Ac 0.000 2.711 7.655
Sm 0.000 0.000 11.482
Y -4.696 0.000 11.482
Y -2.348 1.356 3.827
Y 2.348 1.356 3.827
Bi -2.362 -1.364 13.237
Bi 0.000 0.000 5.570
Bi 0.000 -2.728 9.727
Bi -2.362 1.364 9.727
Bi 2.362 -1.364 13.237
Bi 0.000 2.728 13.237
Bi 0.000 0.000 17.394
Bi 2.362 1.364 9.727
```

Computed properties:
Crystal system   trigonal
Formation energy from the elements   -938 meV per atom

---

# 7
A plane-wave DFT calculation with GGA-PBE was carried out for Ac4SnBi12 after structural relaxation.

```
17
Lattice="-5.247 5.247 5.247 5.247 -5.247 5.247 5.247 5.247 -5.247" Properties=species:S:1:pos:R:3 pbc="T T T"
Ac 2.624 2.624 -2.624
Ac 2.624 -2.624 2.624
Ac -2.624 2.624 2.624
Ac 2.624 2.624 2.624
Sn 0.000 0.000 0.000
Bi 3.030 0.000 0.000
Bi 7.464 0.000 0.000
Bi 5.247 2.624 0.000
Bi 5.247 0.000 2.624
Bi 0.000 3.030 0.000
Bi 0.000 0.000 3.030
Bi 2.624 5.247 0.000
Bi 2.624 0.000 5.247
Bi 0.000 7.464 0.000
Bi 0.000 0.000 7.464
Bi 0.000 5.247 2.624
Bi 0.000 2.624 5.247
```

Computed properties:
Crystal system   cubic
Formation energy from the elements   -402 meV per atom

---

# 8
A plane-wave DFT calculation with GGA-PBE was carried out for AcSnBi after structural relaxation.

```
12
Lattice="7.865 0.000 0.000 0.000 7.865 0.000 0.000 0.000 7.865" Properties=species:S:1:pos:R:3 pbc="T T T"
Ac 0.000 0.000 0.000
Ac 0.000 3.933 3.933
Ac 3.933 0.000 3.933
Ac 3.933 3.933 0.000
Sn 1.966 1.966 1.966
Sn 1.966 5.899 5.899
Sn 5.899 1.966 5.899
Sn 5.899 5.899 1.966
Bi 1.966 1.966 5.899
Bi 1.966 5.899 1.966
Bi 5.899 1.966 1.966
Bi 5.899 5.899 5.899
```

Computed properties:
Offset from the most stable computed form   490.4 meV/atom
Crystal system   cubic
Formation energy from the elements   -195 meV per atom

---

# 9
A plane-wave DFT calculation with GGA-PBE was carried out for Ac5Sn2Bi after structural relaxation.

```
16
Lattice="-4.495 4.495 7.548 4.495 -4.495 7.548 4.495 4.495 -7.548" Properties=species:S:1:pos:R:3 pbc="T T T"
Ac 0.000 0.000 0.000
Ac 5.920 1.425 -2.215
Ac 1.425 3.070 -2.215
Ac 5.920 1.425 2.215
Ac 1.425 3.070 2.215
Ac 0.000 0.000 7.548
Ac 3.070 1.425 5.332
Ac -1.425 3.070 5.332
Ac 3.070 1.425 9.763
Ac -1.425 3.070 9.763
Sn 3.238 1.257 0.000
Sn 3.238 -1.257 7.548
Sn 1.257 5.752 0.000
Sn 1.257 3.238 7.548
Bi 0.000 0.000 3.774
Bi 0.000 0.000 11.321
```

Computed properties:
Crystal system   tetragonal
Formation energy from the elements   -621 meV per atom

---

# 10
A plane-wave DFT calculation with GGA-PBE was carried out for AcSn3Bi3 after structural relaxation.

```
14
Lattice="8.484 0.000 0.000 0.000 8.484 0.000 0.000 0.000 8.484" Properties=species:S:1:pos:R:3 pbc="T T T"
Ac 0.000 0.000 0.000
Ac 4.242 4.242 4.242
Sn 0.000 2.121 4.242
Sn 0.000 6.363 4.242
Sn 2.121 4.242 0.000
Sn 4.242 0.000 2.121
Sn 4.242 0.000 6.363
Sn 6.363 4.242 0.000
Bi 0.000 4.242 2.121
Bi 0.000 4.242 6.363
Bi 2.121 0.000 4.242
Bi 4.242 2.121 0.000
Bi 4.242 6.363 0.000
Bi 6.363 0.000 4.242
```

Computed properties:
Crystal system   cubic
Formation energy from the elements   290 meV per atom

---

# 11
A plane-wave DFT calculation with GGA-PBE was carried out for AcSn3Bi after structural relaxation.

```
10
Lattice="-2.945 2.945 11.614 2.945 -2.945 11.614 2.945 2.945 -11.614" Properties=species:S:1:pos:R:3 pbc="T T T"
Ac 0.000 0.000 3.885
Ac 0.000 0.000 19.343
Sn 2.945 1.481 2.800
Sn 1.481 2.945 -2.800
Sn 1.464 0.000 8.813
Sn 0.000 2.945 1.879
Sn 0.000 1.464 14.414
Sn 0.000 2.945 9.735
Bi 2.945 0.000 5.807
Bi 0.000 0.000 11.614
```

Computed properties:
Crystal system   tetragonal
Formation energy from the elements   -34 meV per atom

---

# 12
A plane-wave DFT calculation with GGA-PBE was carried out for Ac2SnBi3 after structural relaxation.

```
12
Lattice="4.724 0.000 0.000 0.000 6.837 0.000 0.000 0.000 14.638" Properties=species:S:1:pos:R:3 pbc="T T T"
Ac 0.000 0.000 2.426
Ac 0.000 0.000 12.212
Ac 2.362 3.419 4.893
Ac 2.362 3.419 9.745
Sn 0.000 0.000 7.319
Sn 2.362 3.419 0.000
Bi 0.000 3.419 2.377
Bi 0.000 3.419 7.319
Bi 0.000 3.419 12.262
Bi 2.362 0.000 0.000
Bi 2.362 0.000 4.943
Bi 2.362 0.000 9.696
```

Computed properties:
Crystal system   orthorhombic
Formation energy from the elements   -501 meV per atom